1.
First-principles (PBE) data for a geometry-optimized LaTbNp structure, as listed in OQMD.

Lattice parameters (Å, degrees): 5.1530 5.1530 5.1530 60.00 60.00 60.00
With the nearest neighbours (Å) after each atom.
Element x y z (fractional)
La  0.0000  0.0000  0.0000  4 Np 3.16, 4 Tb 3.16
Tb  0.2500  0.2500  0.2500  4 La 3.16
Np  0.7500  0.7500  0.7500  4 La 3.16

SG = No. 216
Formation energy = 1052 meV/atom

=====

2.
First-principles (PBE) data for a geometry-optimized LaNpTc structure, as listed in OQMD.

Lattice parameters (Å, degrees): 4.6748 4.6748 4.6748 60.00 60.00 60.00
With the nearest neighbours (Å) after each atom.
Element x y z (fractional)
La  0.0000  0.0000  0.0000  4 Np 2.86
Np  0.2500  0.2500  0.2500  4 La 2.86, 4 Tc 2.86
Tc  0.5000  0.5000  0.5000  4 Np 2.86

SG = No. 216
Formation energy = 829 meV/atom

=====

3.
First-principles (PBE) data for a geometry-optimized LaThNp structure, as listed in OQMD.

Lattice parameters (Å, degrees): 5.0008 5.0008 5.0008 60.00 60.00 60.00
With the nearest neighbours (Å) after each atom.
Element x y z (fractional)
La  0.0000  0.0000  0.0000  4 Np 3.06, 4 Th 3.06
Th  0.2500  0.2500  0.2500  4 La 3.06
Np  0.7500  0.7500  0.7500  4 La 3.06

SG = No. 216
Formation energy = 1138 meV/atom